Record 1
Below is a relaxed structure of Mg2PtBr, with properties calculated at the PBEsol level.

abc: 3.4448 3.1265 7.4666
angles: 90.00 90.18 90.00
Space group P2/m (No. 10)
Symmetry-distinct sites (fractional):
1 Mg 0.0012 0.0000 0.1986 [2 per cell]
2 Pt 0.5000 0.5000 0.0000 [1 per cell]
3 Br 0.0000 0.5000 0.5000 [1 per cell]

Computed properties:
The value obtained for the energy relative to the elements, uncorrected is -0.77 eV/atom. The calculation puts the total energy at -15.3 eV per cell. Its density of states at the Fermi level is 1.0 states/eV per cell.

---

Record 2
Below is a relaxed structure of InFeCo, with properties calculated at the PBEsol level.

abc: 2.9905 2.9905 9.2165
angles: 90.00 90.00 90.00
Space group I4mm (No. 107)
Symmetry-distinct sites (fractional):
1 In 0.0000 0.0000 0.0000 [2 per cell]
2 Fe 0.0000 0.0000 0.3114 [2 per cell]
3 Co 0.0000 0.0000 0.6839 [2 per cell]

Computed properties:
The calculated formation energy is 0.133 eV per atom. The calculation puts the total energy at -38.6 eV per cell. Its density of states at the Fermi level is 3.8 states/eV per cell.

---

Record 3
Below is a relaxed structure of K2CoSbC, with properties calculated at the PBEsol level.

abc: 5.9883 5.9883 4.6336
angles: 90.00 90.00 90.00
Space group P4/mmm (No. 123)
Symmetry-distinct sites (fractional):
1 K 0.0000 0.5000 0.0000 [2 per cell]
2 Co 0.0000 0.0000 0.0000 [1 per cell]
3 Sb 0.0000 0.0000 0.5000 [1 per cell]
4 C 0.5000 0.5000 0.5000 [1 per cell]

Computed properties:
The value obtained for the energy relative to the elements, uncorrected is 1.44 eV/atom. The calculation puts the total energy at -17.0 eV per cell. Its density of states at the Fermi level is 4.9 states/eV per cell.

---

Record 4
Below is a relaxed structure of CuOs2Se, with properties calculated at the PBEsol level.

abc: 2.8627 4.3356 9.2282
angles: 90.00 90.00 90.00
Space group Imm2 (No. 44)
Symmetry-distinct sites (fractional):
1 Cu 0.0000 0.0000 0.0000 [2 per cell]
2 Os 0.0000 0.0000 0.5160 [2 per cell]
3 Os 0.0000 0.5000 0.7781 [2 per cell]
4 Se 0.0000 0.5000 0.2399 [2 per cell]

Computed properties:
The value obtained for the energy relative to the elements, uncorrected is 0.69 eV/atom. The calculation puts the total energy at -59.7 eV per cell. Its density of states at the Fermi level is 8.5 states/eV per cell.

---

Record 5
Below is a relaxed structure of Y3MgN, with properties calculated at the PBEsol level.

abc: 4.8189 4.8189 4.8189
angles: 90.00 90.00 90.00
Space group Pm-3m (No. 221)
Symmetry-distinct sites (fractional):
1 Y 0.0000 0.0000 0.5000 [3 per cell]
2 Mg 0.5000 0.5000 0.5000 [1 per cell]
3 N 0.0000 0.0000 0.0000 [1 per cell]

Computed properties:
The value obtained for the energy relative to the elements, uncorrected is -0.80 eV/atom. The calculation puts the total energy at -34.7 eV per cell. Its density of states at the Fermi level is 6.4 states/eV per cell.

---

Record 6
Below is a relaxed structure of TlSi4, with properties calculated at the PBEsol level.

abc: 6.1393 6.1393 6.1393
angles: 90.00 90.00 90.00
Space group Im-3m (No. 229)
Symmetry-distinct sites (fractional):
1 Tl 0.0000 0.0000 0.0000 [2 per cell]
2 Si 0.2500 0.2500 0.2500 [8 per cell]

Computed properties:
The value obtained for the energy relative to the elements, uncorrected is 1.23 eV/atom. The calculation puts the total energy at -38.9 eV per cell. Its density of states at the Fermi level is 5.7 states/eV per cell.

---

Record 7
Below is a relaxed structure of LiMgCd2, with properties calculated at the PBEsol level.

abc: 3.0947 3.0947 28.7810
angles: 90.00 90.00 120.00
Space group R-3m (No. 166, hexagonal axes)
Symmetry-distinct sites (fractional):
1 Li 0.0000 0.0000 0.0000 [3 per cell]
2 Mg 0.0000 0.0000 0.5000 [3 per cell]
3 Cd 0.0000 0.0000 0.2532 [6 per cell]

Computed properties:
The calculated formation energy is -0.115 eV per atom. The calculation puts the total energy at -19.6 eV per cell. Its density of states at the Fermi level is 5.2 states/eV per cell.

---

Record 8
Below is a relaxed structure of ReNi2GeSb, with properties calculated at the PBEsol level.

abc: 4.5472 4.5472 4.6831
angles: 90.00 90.00 90.00
Space group P4/mmm (No. 123)
Symmetry-distinct sites (fractional):
1 Re 0.0000 0.0000 0.0000 [1 per cell]
2 Ni 0.0000 0.5000 0.0000 [2 per cell]
3 Ge 0.0000 0.0000 0.5000 [1 per cell]
4 Sb 0.5000 0.5000 0.5000 [1 per cell]

Computed properties:
The value obtained for the energy relative to the elements, uncorrected is 1.02 eV/atom. The calculation puts the total energy at -30.1 eV per cell. Its density of states at the Fermi level is 4.5 states/eV per cell.

---

Record 9
Below is a relaxed structure of Li3CuPCO7, with properties calculated at the PBEsol level.

abc: 5.0146 6.1635 8.4066
angles: 90.00 91.01 90.00
Space group P2_1 (No. 4)
Symmetry-distinct sites (fractional):
1 Li 0.0411 0.0000 0.0039 [2 per cell]
2 Li 0.4176 0.7018 0.8055 [2 per cell]
3 Li 0.4480 0.8728 0.4585 [2 per cell]
4 Cu 0.0449 0.2242 0.7259 [2 per cell]
5 P 0.0406 0.2235 0.3464 [2 per cell]
6 C 0.4649 0.7116 0.1144 [2 per cell]
7 O 0.0473 0.9172 0.7618 [2 per cell]
8 O 0.0736 0.5327 0.7579 [2 per cell]
9 O 0.1101 0.7370 0.4962 [2 per cell]
10 O 0.2102 0.7264 0.0812 [2 per cell]
11 O 0.3432 0.2012 0.3751 [2 per cell]
12 O 0.3732 0.1839 0.0004 [2 per cell]
13 O 0.4544 0.2263 0.7396 [2 per cell]

Computed properties:
The value obtained for the energy relative to the elements, uncorrected is -1.85 eV/atom. The calculation puts the total energy at -172.8 eV per cell. Its density of states at the Fermi level is 3.2 states/eV per cell.

---

Record 10
Below is a relaxed structure of Ba2I2Br, with properties calculated at the PBEsol level.

abc: 8.8995 8.8995 4.7802
angles: 90.00 90.00 90.00
Space group P4/mbm (No. 127)
Symmetry-distinct sites (fractional):
1 Ba 0.1604 0.3396 0.0000 [4 per cell]
2 I 0.1443 0.6443 0.5000 [4 per cell]
3 Br 0.0000 0.0000 0.0000 [2 per cell]

Computed properties:
The value obtained for the energy relative to the elements, uncorrected is -1.70 eV/atom. The calculation puts the total energy at -36.4 eV per cell. Its density of states at the Fermi level is 2.9 states/eV per cell.

---

Record 11
Below is a relaxed structure of Al4ReW, with properties calculated at the PBEsol level.

abc: 6.9771 6.9771 6.9771
angles: 90.00 90.00 90.00
Space group F-43m (No. 216)
Symmetry-distinct sites (fractional):
1 Al 0.1248 0.1248 0.1248 [16 per cell]
2 Re 0.2500 0.2500 0.7500 [4 per cell]
3 W 0.0000 0.0000 0.5000 [4 per cell]

Computed properties:
The calculated formation energy is 0.204 eV per atom. The calculation puts the total energy at -169.1 eV per cell. Its density of states at the Fermi level is 15.5 states/eV per cell.

---

Record 12
Below is a relaxed structure of ReAgCl2, with properties calculated at the PBEsol level.

abc: 2.9534 2.9534 28.2619
angles: 90.00 90.00 120.00
Space group R-3m (No. 166, hexagonal axes)
Symmetry-distinct sites (fractional):
1 Re 0.0000 0.0000 0.0000 [3 per cell]
2 Ag 0.0000 0.0000 0.5000 [3 per cell]
3 Cl 0.0000 0.0000 0.2697 [6 per cell]

Computed properties:
The value obtained for the energy relative to the elements, uncorrected is 0.38 eV/atom. The calculation puts the total energy at -57.4 eV per cell. Its density of states at the Fermi level is 8.5 states/eV per cell.

---

Record 13
Below is a relaxed structure of TcSb2TeAs, with properties calculated at the PBEsol level.

abc: 5.2591 5.2591 5.1751
angles: 90.00 90.00 90.00
Space group P4/mmm (No. 123)
Symmetry-distinct sites (fractional):
1 Tc 0.0000 0.0000 0.0000 [1 per cell]
2 Sb 0.0000 0.5000 0.5000 [2 per cell]
3 Te 0.5000 0.5000 0.0000 [1 per cell]
4 As 0.5000 0.5000 0.5000 [1 per cell]

Computed properties:
The value obtained for the energy relative to the elements, uncorrected is 1.38 eV/atom. The calculation puts the total energy at -22.1 eV per cell. Its density of states at the Fermi level is 3.6 states/eV per cell.

---

Record 14
Below is a relaxed structure of TiHIr3, with properties calculated at the PBEsol level.

abc: 3.8900 3.8900 3.8900
angles: 90.00 90.00 90.00
Space group Pm-3m (No. 221)
Symmetry-distinct sites (fractional):
1 Ti 0.0000 0.0000 0.0000 [1 per cell]
2 H 0.5000 0.5000 0.5000 [1 per cell]
3 Ir 0.0000 0.5000 0.5000 [3 per cell]

Computed properties:
The calculation puts the total energy at -43.7 eV per cell. Its density of states at the Fermi level is 1.1 states/eV per cell.